PaAl2Zn: relaxed, PBE-GGA.

Symmetry = P4/mmm
ρ = 7.3 g/cm³
DFT formation energy = -13.4 kJ/mol of atoms
Calculated total energy = -18.8 eV for the cell shown

Structure (POSCAR):
```
PaAl2Zn
1.0
4.313 0.000 0.000
0.000 4.313 0.000
0.000 0.000 4.275
Pa Al Zn
1 2 1
Cartesian
0.000 0.000 0.000
0.000 2.156 2.137
2.156 0.000 2.137
2.156 2.156 0.000
```